Density functional theory data (SCAN) for BaAgW2 at its PBEsol-relaxed geometry.

It has space group Pm (No. 6), with a = 3.307 Å, b = 3.237 Å, c = 8.156 Å, α = 90.00°, β = 91.11° and γ = 90.00°. The inequivalent atoms are Ba at (0.000, 0.000, 0.000), Ag at (0.489, 0.500, 0.688), W at (0.507, 0.500, 0.323) and W at (0.975, 0.000, 0.470).

As for the total magnetic moment: 0.000 μB/atom. As for the formation energy: 0.73 eV per atom. The calculation puts the mass density at 11.66 g cm⁻³.

=====

Density functional theory data (SCAN) for BaAg3W at its PBEsol-relaxed geometry.

It has space group Pm-3m (No. 221), with a = 5.111 Å, b = 5.111 Å, c = 5.111 Å, α = 90.00°, β = 90.00° and γ = 90.00°. The inequivalent atoms are Ba at (0.000, 0.000, 0.000), Ag at (0.000, 0.500, 0.500) and W at (0.500, 0.500, 0.500).

As for the total magnetic moment: 0.000 μB/atom. As for the formation energy: 0.90 eV per atom. The calculation puts the mass density at 8.02 g cm⁻³.

=====

Density functional theory data (SCAN) for Ba2YAg at its PBEsol-relaxed geometry.

It has space group Cmmm (No. 65), with a = 8.390 Å, b = 8.464 Å, c = 4.042 Å, α = 90.00°, β = 90.00° and γ = 90.00°. The inequivalent atoms are Ba at (0.250, 0.250, 0.000), Y at (0.000, 0.000, 0.500) and Ag at (0.000, 0.500, 0.500).

As for the total magnetic moment: 0.000 μB/atom. As for the formation energy: 0.20 eV per atom. The calculation puts the mass density at 5.46 g cm⁻³. The energy relative to the lowest polymorph listed for this composition is 151.8 meV per atom.

=====

Density functional theory data (SCAN) for Ba2YAg at its PBEsol-relaxed geometry.

It has space group Amm2 (No. 38), with a = 4.034 Å, b = 5.652 Å, c = 13.752 Å, α = 90.00°, β = 90.00° and γ = 90.00°. The inequivalent atoms are Ba at (0.000, 0.000, 0.000), Ba at (0.500, 0.000, 0.304), Y at (0.000, 0.000, 0.692) and Ag at (0.500, 0.000, 0.543).

As for the total magnetic moment: 0.000 μB/atom. As for the formation energy: 0.05 eV per atom. The calculation puts the mass density at 4.99 g cm⁻³. The energy relative to the lowest polymorph listed for this composition is 0.0 meV per atom.

=====

Density functional theory data (SCAN) for BaY2Ag at its PBEsol-relaxed geometry.

It has space group Fm-3m (No. 225), with a = 7.583 Å, b = 7.583 Å, c = 7.583 Å, α = 90.00°, β = 90.00° and γ = 90.00°. The inequivalent atoms are Ba at (0.000, 0.000, 0.000), Y at (0.250, 0.250, 0.250) and Ag at (0.000, 0.000, 0.500).

As for the total magnetic moment: 0.244 μB/atom. As for the formation energy: 0.22 eV per atom. The calculation puts the mass density at 6.44 g cm⁻³. The energy relative to the lowest polymorph listed for this composition is 11.3 meV per atom.

=====

Density functional theory data (SCAN) for BaY2Ag at its PBEsol-relaxed geometry.

It has space group P4/mmm (No. 123), with a = 4.777 Å, b = 4.777 Å, c = 5.323 Å, α = 90.00°, β = 90.00° and γ = 90.00°. The inequivalent atoms are Ba at (0.000, 0.000, 0.000), Y at (0.000, 0.500, 0.500) and Ag at (0.500, 0.500, 0.000).

As for the total magnetic moment: 0.242 μB/atom. As for the formation energy: 0.21 eV per atom. The calculation puts the mass density at 5.78 g cm⁻³. The energy relative to the lowest polymorph listed for this composition is 0.0 meV per atom.

=====

Density functional theory data (SCAN) for Ba2ZnAg at its PBEsol-relaxed geometry.

It has space group F-43m (No. 216), with a = 7.636 Å, b = 7.636 Å, c = 7.636 Å, α = 90.00°, β = 90.00° and γ = 90.00°. The inequivalent atoms are Ba at (0.000, 0.000, 0.000), Ba at (0.250, 0.250, 0.250), Zn at (0.000, 0.000, 0.500) and Ag at (0.250, 0.250, 0.750).

As for the total magnetic moment: 0.000 μB/atom. As for the formation energy: -0.02 eV per atom. The calculation puts the mass density at 6.68 g cm⁻³.

=====

Density functional theory data (SCAN) for Ba2ZnAg at its PBEsol-relaxed geometry.

It has space group Cmmm (No. 65), with a = 8.011 Å, b = 8.020 Å, c = 3.998 Å, α = 90.00°, β = 90.00° and γ = 90.00°. The inequivalent atoms are Ba at (0.250, 0.250, 0.000), Zn at (0.000, 0.000, 0.500) and Ag at (0.000, 0.500, 0.500).

As for the total magnetic moment: 0.000 μB/atom. As for the formation energy: -0.19 eV per atom. The calculation puts the mass density at 5.79 g cm⁻³.

=====

Density functional theory data (SCAN) for Ba2ZnAg at its PBEsol-relaxed geometry.

It has space group Amm2 (No. 38), with a = 4.777 Å, b = 4.692 Å, c = 12.149 Å, α = 90.00°, β = 90.00° and γ = 90.00°. The inequivalent atoms are Ba at (0.000, 0.000, 0.000), Ba at (0.500, 0.000, 0.285), Zn at (0.500, 0.000, 0.585) and Ag at (0.000, 0.000, 0.698).

As for the total magnetic moment: 0.000 μB/atom. As for the formation energy: -0.22 eV per atom. The calculation puts the mass density at 5.46 g cm⁻³.

=====

Density functional theory data (SCAN) for BaZnAg2 at its PBEsol-relaxed geometry.

It has space group R3m (No. 160, hexagonal axes), with a = 4.5991 Å, b = 4.5991 Å, c = 16.6055 Å, α = 90.00°, β = 90.00° and γ = 120.00°. The inequivalent atoms are Ba at (0.0000, 0.0000, 0.0000), Zn at (0.0000, 0.0000, 0.1967), Ag at (0.0000, 0.0000, 0.5127) and Ag at (0.0000, 0.0000, 0.8036).

As for the total magnetic moment: 0.000 μB/atom. As for the formation energy: -0.20 eV per atom. The calculation puts the mass density at 6.85 g cm⁻³.

=====

Density functional theory data (SCAN) for BaZnAg2 at its PBEsol-relaxed geometry.

It has space group P4/mmm (No. 123), with a = 3.464 Å, b = 3.464 Å, c = 7.448 Å, α = 90.00°, β = 90.00° and γ = 90.00°. The inequivalent atoms are Ba at (0.000, 0.000, 0.000), Zn at (0.000, 0.000, 0.500) and Ag at (0.500, 0.500, 0.319).

As for the total magnetic moment: 0.000 μB/atom. As for the formation energy: 0.01 eV per atom. The calculation puts the mass density at 7.77 g cm⁻³.

=====

Density functional theory data (SCAN) for BaZn2Ag at its PBEsol-relaxed geometry.

It has space group C2/m (No. 12), with a = 7.772 Å, b = 4.482 Å, c = 6.224 Å, α = 90.00°, β = 114.70° and γ = 90.00°. The inequivalent atoms are Ba at (0.000, 0.000, 0.000), Zn at (0.194, 0.000, 0.581) and Ag at (0.000, 0.500, 0.500).

As for the total magnetic moment: 0.000 μB/atom. As for the formation energy: -0.22 eV per atom. The calculation puts the mass density at 6.34 g cm⁻³.

=====

Density functional theory data (SCAN) for BaZn2Ag at its PBEsol-relaxed geometry.

It has space group R3m (No. 160, hexagonal axes), with a = 4.4739 Å, b = 4.4739 Å, c = 17.1013 Å, α = 90.00°, β = 90.00° and γ = 120.00°. The inequivalent atoms are Ba at (0.0000, 0.0000, 0.0000), Zn at (0.0000, 0.0000, 0.1931), Zn at (0.0000, 0.0000, 0.5052) and Ag at (0.0000, 0.0000, 0.8074).

As for the total magnetic moment: 0.000 μB/atom. As for the formation energy: -0.22 eV per atom. The calculation puts the mass density at 6.32 g cm⁻³.

=====

Density functional theory data (SCAN) for BaZn2Ag at its PBEsol-relaxed geometry.

It has space group P4/mmm (No. 123), with a = 4.571 Å, b = 4.571 Å, c = 4.814 Å, α = 90.00°, β = 90.00° and γ = 90.00°. The inequivalent atoms are Ba at (0.000, 0.000, 0.000), Zn at (0.000, 0.500, 0.500) and Ag at (0.500, 0.500, 0.000).

As for the total magnetic moment: 0.000 μB/atom. As for the formation energy: 0.17 eV per atom. The calculation puts the mass density at 6.21 g cm⁻³.

=====

Density functional theory data (SCAN) for BaZr4Ag at its PBEsol-relaxed geometry.

It has space group F-43m (No. 216), with a = 8.368 Å, b = 8.368 Å, c = 8.368 Å, α = 90.00°, β = 90.00° and γ = 90.00°. The inequivalent atoms are Ba at (0.000, 0.000, 0.000), Zr at (0.124, 0.124, 0.624) and Ag at (0.250, 0.250, 0.250).

As for the total magnetic moment: 0.000 μB/atom. As for the formation energy: 0.64 eV per atom. The calculation puts the mass density at 6.92 g cm⁻³.

=====

Density functional theory data (SCAN) for BaZr2Ag at its PBEsol-relaxed geometry.

It has space group I4/mmm (No. 139), with a = 4.394 Å, b = 4.394 Å, c = 10.223 Å, α = 90.00°, β = 90.00° and γ = 90.00°. The inequivalent atoms are Ba at (0.000, 0.000, 0.000), Zr at (0.000, 0.500, 0.250) and Ag at (0.000, 0.000, 0.500).

As for the total magnetic moment: 0.000 μB/atom. As for the formation energy: 0.59 eV per atom. The calculation puts the mass density at 7.20 g cm⁻³. The energy relative to the lowest polymorph listed for this composition is 90.4 meV per atom.

=====

Density functional theory data (SCAN) for BaZr3Ag at its PBEsol-relaxed geometry.

It has space group Pm-3m (No. 221), with a = 5.246 Å, b = 5.246 Å, c = 5.246 Å, α = 90.00°, β = 90.00° and γ = 90.00°. The inequivalent atoms are Ba at (0.000, 0.000, 0.000), Zr at (0.000, 0.500, 0.500) and Ag at (0.500, 0.500, 0.500).

As for the total magnetic moment: 0.000 μB/atom. As for the formation energy: 0.78 eV per atom. The calculation puts the mass density at 5.97 g cm⁻³.

=====

Density functional theory data (SCAN) for BaZr2Ag at its PBEsol-relaxed geometry.

It has space group C2/m (No. 12), with a = 6.218 Å, b = 11.653 Å, c = 3.160 Å, α = 90.00°, β = 119.54° and γ = 90.00°. The inequivalent atoms are Ba at (0.000, 0.000, 0.000), Zr at (0.250, 0.250, 0.500) and Ag at (0.000, 0.500, 0.000).

As for the total magnetic moment: 0.000 μB/atom. As for the formation energy: 0.50 eV per atom. The calculation puts the mass density at 7.13 g cm⁻³. The energy relative to the lowest polymorph listed for this composition is 0.0 meV per atom.

=====

Density functional theory data (SCAN) for BaZrAg at its PBEsol-relaxed geometry.

It has space group P3m1 (No. 156), with a = 3.4405 Å, b = 3.4405 Å, c = 7.8827 Å, α = 90.00°, β = 90.00° and γ = 120.00°. The inequivalent atoms are Ba at (0.0000, 0.0000, 0.0000), Zr at (0.3333, 0.6667, 0.6156) and Ag at (0.6667, 0.3333, 0.3503).

As for the total magnetic moment: 0.001 μB/atom. As for the formation energy: 0.47 eV per atom. The calculation puts the mass density at 6.91 g cm⁻³. The energy relative to the lowest polymorph listed for this composition is 0.0 meV per atom.

=====

Density functional theory data (SCAN) for BaZrAg at its PBEsol-relaxed geometry.

It has space group F-43m (No. 216), with a = 6.988 Å, b = 6.988 Å, c = 6.988 Å, α = 90.00°, β = 90.00° and γ = 90.00°. The inequivalent atoms are Ba at (0.000, 0.000, 0.000), Zr at (0.250, 0.250, 0.250) and Ag at (0.250, 0.250, 0.750).

As for the total magnetic moment: 0.000 μB/atom. As for the formation energy: 1.29 eV per atom. The calculation puts the mass density at 6.55 g cm⁻³. The energy relative to the lowest polymorph listed for this composition is 820.8 meV per atom.

=====

Density functional theory data (SCAN) for Be2Ag at its PBEsol-relaxed geometry.

It has space group P6_3/mmc (No. 194), with a = 4.5021 Å, b = 4.5021 Å, c = 7.2561 Å, α = 90.00°, β = 90.00° and γ = 120.00°. The inequivalent atoms are Be at (0.0000, 0.0000, 0.0000), Be at (0.1641, 0.3281, 0.2500) and Ag at (0.3333, 0.6667, 0.5592).

As for the total magnetic moment: 0.000 μB/atom. As for the formation energy: -0.01 eV per atom. The calculation puts the mass density at 6.57 g cm⁻³. The energy relative to the lowest polymorph listed for this composition is 34.3 meV per atom.

=====

Density functional theory data (SCAN) for Be2Ag at its PBEsol-relaxed geometry.

It has space group I4/mcm (No. 140), with a = 4.174 Å, b = 4.174 Å, c = 8.068 Å, α = 90.00°, β = 90.00° and γ = 90.00°. The inequivalent atoms are Be at (0.177, 0.323, 0.000) and Ag at (0.000, 0.000, 0.250).

As for the total magnetic moment: 0.000 μB/atom. As for the formation energy: 0.25 eV per atom. The calculation puts the mass density at 5.95 g cm⁻³. The energy relative to the lowest polymorph listed for this composition is 300.5 meV per atom.

=====

Density functional theory data (SCAN) for BeAg2 at its PBEsol-relaxed geometry.

It has space group Cmcm (No. 63), with a = 2.805 Å, b = 13.520 Å, c = 4.383 Å, α = 90.00°, β = 90.00° and γ = 90.00°. The inequivalent atoms are Be at (0.000, 0.063, 0.250), Ag at (0.000, 0.285, 0.750) and Ag at (0.000, 0.416, 0.250).

As for the total magnetic moment: 0.000 μB/atom. As for the formation energy: 0.09 eV per atom. The calculation puts the mass density at 8.98 g cm⁻³.

=====

Density functional theory data (SCAN) for Be7Ag6 at its PBEsol-relaxed geometry.

It has space group R-3m (No. 166, hexagonal axes), with a = 4.6118 Å, b = 4.6118 Å, c = 25.1368 Å, α = 90.00°, β = 90.00° and γ = 120.00°. The inequivalent atoms are Be at (0.0000, 0.0000, 0.0000), Be at (0.0053, 0.5027, 0.5921), Ag at (0.0000, 0.0000, 0.1688), Ag at (0.0000, 0.0000, 0.3429) and Ag at (0.0000, 0.0000, 0.4481).

As for the total magnetic moment: 0.000 μB/atom. As for the formation energy: 0.02 eV per atom. The calculation puts the mass density at 7.64 g cm⁻³.

=====

Density functional theory data (SCAN) for BeAg2 at its PBEsol-relaxed geometry.

It has space group I4_1/amd (No. 141, origin choice 2), with a = 2.797 Å, b = 2.797 Å, c = 21.955 Å, α = 90.00°, β = 90.00° and γ = 90.00°. The inequivalent atoms are Be at (0.000, 0.250, 0.375) and Ag at (0.000, 0.250, 0.806).

As for the total magnetic moment: 0.000 μB/atom. As for the formation energy: 0.15 eV per atom. The calculation puts the mass density at 8.69 g cm⁻³.

=====

Density functional theory data (SCAN) for BeAg2 at its PBEsol-relaxed geometry.

It has space group Cmmm (No. 65), with a = 4.444 Å, b = 12.867 Å, c = 2.949 Å, α = 90.00°, β = 90.00° and γ = 90.00°. The inequivalent atoms are Be at (0.000, 0.160, 0.000), Ag at (0.000, 0.000, 0.500), Ag at (0.000, 0.316, 0.500) and Ag at (0.000, 0.500, 0.000).

As for the total magnetic moment: 0.000 μB/atom. As for the formation energy: 0.15 eV per atom. The calculation puts the mass density at 8.85 g cm⁻³.

=====

Density functional theory data (SCAN) for Be2Ag at its PBEsol-relaxed geometry.

It has space group Fd-3m (No. 227, origin choice 2), with a = 6.333 Å, b = 6.333 Å, c = 6.333 Å, α = 90.00°, β = 90.00° and γ = 90.00°. The inequivalent atoms are Be at (0.000, 0.000, 0.000) and Ag at (0.125, 0.125, 0.625).

As for the total magnetic moment: 0.000 μB/atom. As for the formation energy: -0.05 eV per atom. The calculation puts the mass density at 6.58 g cm⁻³. The energy relative to the lowest polymorph listed for this composition is 0.0 meV per atom.

=====

Density functional theory data (SCAN) for BeAg5 at its PBEsol-relaxed geometry.

It has space group Cm (No. 8), with a = 9.780 Å, b = 2.899 Å, c = 6.911 Å, α = 90.00°, β = 111.18° and γ = 90.00°. The inequivalent atoms are Be at (0.000, 0.000, 0.000), Ag at (0.000, 0.000, 0.499), Ag at (0.138, 0.500, 0.858), Ag at (0.173, 0.500, 0.304), Ag at (0.326, 0.000, 0.694) and Ag at (0.361, 0.000, 0.140).

As for the total magnetic moment: 0.000 μB/atom. As for the formation energy: 0.07 eV per atom. The calculation puts the mass density at 9.97 g cm⁻³. The energy relative to the lowest polymorph listed for this composition is 32.8 meV per atom.

=====

Density functional theory data (SCAN) for BeAg5 at its PBEsol-relaxed geometry.

It has space group P6/mmm (No. 191), with a = 5.1991 Å, b = 5.1991 Å, c = 4.7079 Å, α = 90.00°, β = 90.00° and γ = 120.00°. The inequivalent atoms are Be at (0.0000, 0.0000, 0.0000), Ag at (0.0000, 0.5000, 0.5000) and Ag at (0.3333, 0.6667, 0.0000).

As for the total magnetic moment: 0.000 μB/atom. As for the formation energy: 0.51 eV per atom. The calculation puts the mass density at 8.26 g cm⁻³. The energy relative to the lowest polymorph listed for this composition is 478.2 meV per atom.